A plane-wave DFT calculation with PBE-GGA was carried out for a geometry-optimized InOsNO2 structure.

Cell: 3.999 3.999 3.918 Å, 90.00 90.00 90.00°
Fractional coordinates of all 5 atoms:
In: 0.000 0.000 0.000
Os: 0.500 0.500 0.500
N: 0.500 0.500 0.000
O: 0.000 0.500 0.500
O: 0.500 0.000 0.500

size of the total moment: 0.0000 μB/atom
calculated total energy: -33.4 eV per cell
crystal system: tetragonal
ΔE_f (raw): -1.17 eV/f.u.
space-group type: P4/mmm
theoretical density: 9.3 g/cm³